Model one:
# Ta2VSe6

A relaxed Ta2VSe6 crystal (PBE, Alexandria).

```
Ta2VSe6
1.0
6.085 0.000 0.229
0.000 6.293 0.000
-0.476 0.000 10.638
Se V Ta
12 2 4
Direct
0.159 0.326 0.091 Se
0.819 0.946 0.282 Se
0.659 0.174 0.591 Se
0.811 0.662 0.588 Se
0.311 0.838 0.088 Se
0.189 0.338 0.412 Se
0.689 0.162 0.912 Se
0.319 0.554 0.782 Se
0.181 0.054 0.718 Se
0.681 0.446 0.218 Se
0.841 0.674 0.909 Se
0.341 0.826 0.409 Se
0.000 0.000 0.500 V
0.500 0.500 0.000 V
0.919 0.353 0.750 Ta
0.081 0.647 0.250 Ta
0.581 0.853 0.750 Ta
0.419 0.147 0.250 Ta
```

Model two:
# Ta2VSe6

A relaxed Ta2VSe6 crystal (PBE, Alexandria).

```
Ta2VSe6
1.0
-1.109 -3.100 1.088
-1.242 -2.238 -7.645
8.477 -0.212 2.515
Se V Ta
6 1 2
Direct
0.000 0.232 0.000 Se
0.000 0.768 0.000 Se
0.659 0.082 0.318 Se
0.341 0.918 0.682 Se
0.673 0.572 0.346 Se
0.327 0.428 0.654 Se
0.500 0.000 0.000 V
0.842 0.681 0.684 Ta
0.158 0.319 0.316 Ta
```

Which is most stable, and by how much? model two, by 0.244 eV/atom.

Model one:
# TaWSe

A relaxed TaWSe crystal (PBE, Alexandria).

```
TaWSe
1.0
5.848 0.003 0.000
4.268 3.998 0.000
-5.058 -2.001 2.148
Ta Se W
1 1 1
Direct
0.340 0.340 0.000 Ta
0.011 0.011 0.000 Se
0.650 0.650 0.000 W
```

Model two:
# TaWSe

A relaxed TaWSe crystal (PBE, Alexandria).

```
TaWSe
1.0
-2.974 -2.744 -1.865
0.677 -0.108 4.402
-2.140 2.062 0.379
Se Ta W
1 1 1
Direct
0.000 0.000 0.851 Se
0.667 0.333 0.279 Ta
0.333 0.667 0.869 W
```

Model three:
# TaWSe

A relaxed TaWSe crystal (PBE, Alexandria).

```
TaWSe
1.0
-1.740 5.031 4.387
-3.342 5.434 1.895
-1.638 -1.244 2.170
W Se Ta
1 1 1
Direct
0.673 0.673 0.327 W
0.997 0.997 0.003 Se
0.331 0.331 0.669 Ta
```

Model four:
# TaWSe

A relaxed TaWSe crystal (PBE, Alexandria).

```
TaWSe
1.0
4.793 0.000 -0.004
1.896 4.402 0.004
-2.830 -2.983 2.463
W Se Ta
1 1 1
Direct
0.672 0.672 0.000 W
0.999 0.999 0.000 Se
0.329 0.329 0.000 Ta
```

Which is most stable, and by how much? model two, by 0.031 eV/atom.

Model one:
# Ta3WSe

A relaxed Ta3WSe crystal (PBE, Alexandria).

```
Ta3WSe
1.0
4.898 0.000 0.000
0.000 4.898 0.000
0.000 0.000 4.898
Se Ta W
1 3 1
Direct
0.500 0.500 0.500 Se
0.500 0.000 0.000 Ta
0.000 0.000 0.500 Ta
0.000 0.500 0.000 Ta
0.000 0.000 0.000 W
```

Model two:
# Ta3WSe

A relaxed Ta3WSe crystal (PBE, Alexandria).

```
Ta3WSe
1.0
4.651 0.000 0.000
0.000 4.651 0.000
0.000 0.000 4.651
Ta W Se
3 1 1
Direct
0.000 0.000 0.500 Ta
0.000 0.500 0.000 Ta
0.500 0.000 0.000 Ta
0.500 0.500 0.500 W
0.000 0.000 0.000 Se
```

Which is most stable, and by how much? model two, by 0.299 eV/atom.

Model one:
# YTa2Se2

A relaxed YTa2Se2 crystal (PBE, Alexandria).

```
YTa2Se2
1.0
7.696 0.000 0.000
0.000 7.696 0.000
0.000 0.000 3.252
Se Ta Y
4 4 2
Direct
0.849 0.651 0.000 Se
0.651 0.151 0.000 Se
0.349 0.849 0.000 Se
0.151 0.349 0.000 Se
0.864 0.364 0.500 Ta
0.364 0.136 0.500 Ta
0.636 0.864 0.500 Ta
0.136 0.636 0.500 Ta
0.500 0.500 0.000 Y
0.000 0.000 0.000 Y
```

Model two:
# YTa2Se2

A relaxed YTa2Se2 crystal (PBE, Alexandria).

```
YTa2Se2
1.0
3.903 0.000 0.000
0.000 3.903 0.000
1.951 1.951 6.854
Ta Y Se
2 1 2
Direct
0.250 0.750 0.500 Ta
0.750 0.250 0.500 Ta
0.000 0.000 0.000 Y
0.388 0.388 0.225 Se
0.612 0.612 0.775 Se
```

Which is most stable, and by how much? model two, by 0.270 eV/atom.